(one)
Below is a relaxed CrSbPb crystal, with properties calculated at the PBE level.

abc: 4.629 4.629 4.394
angles: 90.00 90.00 120.00
Atoms (fractional coordinates):
Cr: 0.000 0.000 0.000
Sb: 0.333 0.667 0.000
Pb: 0.667 0.333 0.500

Summary:
density of states at the Fermi level: 2.090 states/eV per cell
magnetization: 1.300 μB/atom

(two)
Below is a relaxed CrSbPb crystal, with properties calculated at the PBE level.

abc: 6.600 6.600 6.600
angles: 150.95 147.04 44.50
Atoms (fractional coordinates):
Cr: 0.000 0.000 0.000
Sb: 0.606 0.606 0.000
Pb: 0.340 0.340 0.000

Summary:
density of states at the Fermi level: 2.001 states/eV per cell
magnetization: 1.154 μB/atom

(three)
Below is a relaxed CrSbPb crystal, with properties calculated at the PBE level.

abc: 3.471 3.471 6.969
angles: 90.00 90.00 120.00
Atoms (fractional coordinates):
Cr: 0.000 0.000 0.000
Sb: 0.333 0.667 0.732
Pb: 0.667 0.333 0.317

Summary:
density of states at the Fermi level: 3.425 states/eV per cell
magnetization: 1.017 μB/atom

Relative energy of each structure, in meV per atom: (one) 81; (two) 0; (three) 132.